Computed, not measured: crystalline HfMgZr2Sc at its relaxed geometry at the GGA-PBE level of DFT.

a = 5.1062 Å, b = 4.9671 Å, c = 5.1062 Å
α = 90.00°, β = 90.00°, γ = 90.00°
Closest atoms and distances in Å follow each position.
Atoms (fractional coordinates):
1 Sc 0.0000 0.5000 0.0000  2 Mg 2.48
2 Zr 0.0000 0.0000 0.5000  2 Mg 2.55
3 Zr 0.5000 0.0000 0.0000  2 Mg 2.55
4 Hf 0.5000 0.5000 0.5000  8 Zr 3.56, 4 Sc 3.61
5 Mg 0.0000 0.0000 0.0000  2 Sc 2.48, 4 Zr 2.55

Formation energy from the elements: 1.064 eV/atom
Space-group type: P4/mmm (123)

=====

Computed, not measured: crystalline CsHf2H at its relaxed geometry at the GGA-PBE level of DFT.

a = 4.9323 Å, b = 4.9323 Å, c = 4.9323 Å
α = 60.00°, β = 60.00°, γ = 60.00°
Closest atoms and distances in Å follow each position.
Atoms (fractional coordinates):
1 Hf 0.7500 0.7500 0.7500  4 Cs 3.02, 4 H 3.02
2 Hf 0.2500 0.2500 0.2500  4 Cs 3.02, 4 H 3.02
3 Cs 0.5000 0.5000 0.5000  8 Hf 3.02
4 H 0.0000 0.0000 0.0000  8 Hf 3.02

Space-group type: Fm-3m (225)

=====

Computed, not measured: crystalline SrNdLuMg at its relaxed geometry at the GGA-PBE level of DFT.

a = 5.7484 Å, b = 5.7484 Å, c = 5.7484 Å
α = 60.00°, β = 60.00°, γ = 60.00°
Closest atoms and distances in Å follow each position.
Atoms (fractional coordinates):
1 Nd 0.5000 0.5000 0.5000  4 Mg 3.52, 4 Lu 3.52
2 Sr 0.0000 0.0000 0.0000  4 Mg 3.52, 4 Lu 3.52
3 Lu 0.2500 0.2500 0.2500  4 Sr 3.52, 4 Nd 3.52
4 Mg 0.7500 0.7500 0.7500  4 Nd 3.52, 4 Sr 3.52

Formation energy from the elements: 0.127 eV/atom
Space-group type: F-43m (216)

=====

Number 1: energy -5.93 eV per atom, magnetic moment 0.428 μB/atom. Number 2: energy -4.16 eV per atom, magnetic moment 0.000 μB/atom. Number 3: energy -3.01 eV per atom, magnetic moment 0.000 μB/atom.